An optimized crystal structure of ScTiAs. Source: Alexandria via LeMat-Bulk, functional PBE.

Calculated values
ΔE_f: -1.010 eV per atom
mass density: 5.2 g/cm3
space-group type: P4/nmm, No. 129
raw total energy: -7.3019 eV per atom

a b c (Å): 3.8410 3.8410 7.3055
angles (deg): 90.00 90.00 90.00
Closest atoms and distances in Å follow each position.
Fractional positions:
Sc: 0.2500 0.2500 0.1459  5 As 2.80-2.81
Sc: 0.7500 0.7500 0.8541  5 As 2.80-2.81
Ti: 0.2500 0.7500 0.5000  4 As 2.71, 4 Ti 2.72
Ti: 0.7500 0.2500 0.5000  4 As 2.71, 4 Ti 2.72
As: 0.2500 0.2500 0.7612  4 Ti 2.71, 5 Sc 2.80-2.81
As: 0.7500 0.7500 0.2388  4 Ti 2.71, 5 Sc 2.80-2.81